No. 1
VASP calculation (GGA-PBE) on an optimized crystal structure of KLiTc.

abc: 6.5039 6.5039 6.5039
angles: 156.81 138.74 47.86
Last column: nearest neighbours and their distance in Å.
Fractional coordinates of all 3 atoms:
K1 0.0039 0.0039 0.0000  2 K 2.61
Li1 0.2822 0.2822 0.0000  2 Li 2.61, 4 Tc 2.76
Tc1 0.7139 0.7139 0.0000  2 Tc 2.61, 4 Li 2.76

=====

No. 2
VASP calculation (GGA-PBE) on an optimized crystal structure of Cu2PPt.

abc: 4.2372 4.2372 4.2372
angles: 60.00 60.00 60.00
Last column: nearest neighbours and their distance in Å.
Fractional coordinates of all 4 atoms:
Cu1 0.0000 0.0000 0.0000  4 Pt 2.59, 4 Cu 2.59
Cu2 0.7500 0.7500 0.7500  4 Cu 2.59, 4 P 2.59
P1 0.5000 0.5000 0.5000  4 Cu 2.59, 4 Pt 2.59
Pt1 0.2500 0.2500 0.2500  4 P 2.59, 4 Cu 2.59

=====

Number 1: excess energy over the best structure of this formula in the dataset 132 meV/atom, DOS(E_F) 2.27 states/eV per cell. Number 2: excess energy over the best structure of this formula in the dataset 86 meV/atom, DOS(E_F) 1.17 states/eV per cell.